No. 1
Here is a relaxed Dy6Er3Tm2 crystal from Alexandria via LeMat-Bulk. Energies are from PBE-GGA.

DFT formation energy in eV/atom: 0.0217
Distance to the lowest polymorph of the same formula in eV per formula unit: 0.000

abc: 3.5165 3.5165 31.5327
angles: 86.80 86.80 60.00
Fractional coordinates of all 11 atoms:
Dy1 0.9090 0.9090 0.2730
Dy2 0.0910 0.0910 0.7270
Dy3 0.8180 0.8180 0.5459
Dy4 0.1820 0.1820 0.4541
Dy5 0.6363 0.6363 0.0910
Dy6 0.3637 0.3637 0.9090
Er1 0.0000 0.0000 0.0000
Er2 0.7273 0.7273 0.8180
Er3 0.2727 0.2727 0.1820
Tm1 0.5455 0.5455 0.3635
Tm2 0.4545 0.4545 0.6365

=====

No. 2
Here is a relaxed LiSb2Se crystal from Alexandria via LeMat-Bulk. Energies are from PBE-GGA.

Energy relative to the elements, uncorrected in eV/atom: -0.099

abc: 5.2475 5.2475 5.2475
angles: 123.21 123.21 84.52
Fractional coordinates of all 4 atoms:
Li1 0.7500 0.2500 0.5000
Sb1 0.0000 0.0000 0.0000
Sb2 0.2500 0.7500 0.5000
Se1 0.5000 0.5000 0.0000

=====

No. 3
Here is a relaxed Pm4CoRuCl2 crystal from Alexandria via LeMat-Bulk. Energies are from PBE-GGA.

Energy relative to the elements, uncorrected in eV/atom: -0.854

abc: 3.9567 6.8558 7.9285
angles: 106.77 90.00 90.00
Fractional coordinates of all 8 atoms:
Pm1 0.5000 0.2312 0.2022
Pm2 0.5000 0.7688 0.7978
Pm3 0.0000 0.2603 0.7929
Pm4 0.0000 0.7397 0.2071
Co1 0.0000 0.0000 0.0000
Ru1 0.5000 0.5000 0.0000
Cl1 0.5000 0.0000 0.5000
Cl2 0.0000 0.5000 0.5000

=====

No. 4
Here is a relaxed Cs4Tm3UTe8 crystal from Alexandria via LeMat-Bulk. Energies are from PBE-GGA.

Energy relative to the elements, uncorrected in eV/atom: -1.218

abc: 9.0825 10.3497 9.0835
angles: 116.02 120.00 90.00
Each line ends with the local moment (μB).
Fractional coordinates of all 16 atoms:
Cs1 0.5000 0.0000 0.0000  0.00
Cs2 0.5000 0.0000 0.5000  0.00
Cs3 0.0000 0.0000 0.0000  0.00
Cs4 0.0000 0.0000 0.5000  0.00
Tm1 0.5000 0.5000 0.0000  0.02
Tm2 0.5000 0.5000 0.5000  0.02
Tm3 0.0000 0.5000 0.5000  0.02
U1 0.0000 0.5000 0.0000  2.78
Te1 0.2333 0.6895 0.9561  -0.02
Te2 0.2333 0.6894 0.4665  -0.02
Te3 0.2711 0.3133 0.5422  0.00
Te4 0.7228 0.6895 0.9561  -0.02
Te5 0.2772 0.3105 0.0439  -0.02
Te6 0.7289 0.6867 0.4578  0.00
Te7 0.7667 0.3106 0.5335  -0.02
Te8 0.7667 0.3105 0.0439  -0.02

=====

No. 5
Here is a relaxed AlTcBAs2 crystal from Alexandria via LeMat-Bulk. Energies are from PBE-GGA.

DFT formation energy in eV/atom: 1.2910

abc: 4.9060 3.9207 4.9060
angles: 90.00 90.00 90.00
Each line ends with the local moment (μB).
Fractional coordinates of all 5 atoms:
As1 0.0000 0.0000 0.5000  -0.09
As2 0.5000 0.0000 0.0000  -0.10
B1 0.0000 0.5000 0.0000  -0.04
Tc1 0.5000 0.5000 0.5000  2.86
Al1 0.0000 0.0000 0.0000  0.01

=====

No. 6
Here is a relaxed Na3NbN crystal from Alexandria via LeMat-Bulk. Energies are from PBE-GGA.

Energy relative to the elements, uncorrected in eV/atom: 1.400
Distance to the lowest polymorph of the same formula in eV per formula unit: 0.000

abc: 4.7042 4.7042 4.7042
angles: 90.00 90.00 90.00
Fractional coordinates of all 5 atoms:
Na1 0.0000 0.5000 0.0000
Na2 0.0000 0.0000 0.5000
Na3 0.5000 0.0000 0.0000
Nb1 0.5000 0.5000 0.5000
N1 0.0000 0.0000 0.0000

=====

Number 1: VASP energy -4.5459 eV/atom. Number 2: VASP energy -3.5095 eV/atom. Number 3: VASP energy -5.7386 eV/atom. Number 4: VASP energy -4.5465 eV/atom. Number 5: VASP energy -4.7260 eV/atom. Number 6: VASP energy -3.0707 eV/atom.